Compound: Sr3Rh2O7
Source: Alexandria
Functional: PBE
Structure: optimized geometry

abc: 10.972 10.972 5.540
angles: 90.00 90.00 150.76
Positions (direct):
Sr  0.063  0.937  0.750
Sr  0.250  0.750  0.750
Sr  0.437  0.563  0.750
Sr  0.563  0.437  0.250
Sr  0.750  0.250  0.250
Sr  0.937  0.063  0.250
Rh  0.152  0.848  0.250
Rh  0.348  0.652  0.250
Rh  0.652  0.348  0.750
Rh  0.848  0.152  0.750
O  0.038  0.345  0.058
O  0.055  0.945  0.250
O  0.155  0.462  0.558
O  0.250  0.750  0.250
O  0.345  0.038  0.558
O  0.445  0.555  0.250
O  0.462  0.155  0.058
O  0.538  0.845  0.942
O  0.555  0.445  0.750
O  0.655  0.962  0.442
O  0.750  0.250  0.750
O  0.845  0.538  0.442
O  0.945  0.055  0.750
O  0.962  0.655  0.942

Computed properties:
Excess energy over the best structure of this formula in the dataset (eV per atom): 0.0000
ΔE_f (raw) (meV/atom): -1808
Space group: Ccce, No. 68

=====

Compound: Sr3Rh2O7
Source: Alexandria
Functional: PBE
Structure: optimized geometry

abc: 10.835 10.835 3.895
angles: 90.00 90.00 158.56
Positions (direct):
Sr  0.000  0.000  0.000
Sr  0.177  0.823  0.000
Sr  0.823  0.177  0.000
Rh  0.403  0.597  0.500
Rh  0.597  0.403  0.500
O  0.093  0.907  0.500
O  0.308  0.692  0.500
O  0.401  0.599  0.000
O  0.500  0.500  0.500
O  0.599  0.401  0.000
O  0.692  0.308  0.500
O  0.907  0.093  0.500

Computed properties:
Excess energy over the best structure of this formula in the dataset (eV per atom): 0.1336
ΔE_f (raw) (meV/atom): -1674
Space group: Cmmm, No. 65

=====

Compound: Sr2Rh2O
Source: Alexandria
Functional: PBE
Structure: optimized geometry

abc: 5.315 5.315 5.315
angles: 113.07 113.07 102.49
Positions (direct):
Sr  0.250  0.750  0.500
Sr  0.750  0.250  0.500
Rh  0.191  0.191  0.000
Rh  0.809  0.809  0.000
O  0.500  0.500  0.000

Computed properties:
Excess energy over the best structure of this formula in the dataset (eV per atom): 0.5050
ΔE_f (raw) (meV/atom): -256
Space group: I4/mmm, No. 139

=====

Compound: SrRh2O6
Source: Alexandria
Functional: PBE
Structure: optimized geometry

abc: 5.290 5.290 5.274
angles: 90.00 90.00 120.00
Positions (direct):
Sr  0.000  0.000  0.000
Rh  0.333  0.667  0.500
Rh  0.667  0.333  0.500
O  0.000  0.381  0.704
O  0.000  0.619  0.296
O  0.381  0.000  0.704
O  0.381  0.381  0.296
O  0.619  0.000  0.296
O  0.619  0.619  0.704

Computed properties:
ΔE_f (raw) (meV/atom): -1157
Space group: P-31m, No. 162

=====

Compound: SrRhO2
Source: Alexandria
Functional: PBE
Structure: optimized geometry

abc: 6.659 6.659 6.659
angles: 29.21 29.21 29.21
Positions (direct):
Sr  0.000  0.000  0.000
Rh  0.500  0.500  0.500
O  0.122  0.122  0.122
O  0.878  0.878  0.878

Computed properties:
ΔE_f (raw) (meV/atom): -788
Space group: R-3m, No. 166

=====

Compound: Sr2RhO4
Source: Alexandria
Functional: PBE
Structure: optimized geometry

abc: 6.951 6.951 6.951
angles: 146.97 146.97 47.40
Positions (direct):
Sr  0.145  0.145  0.000
Sr  0.855  0.855  0.000
Rh  0.500  0.500  0.000
O  0.000  0.500  0.500
O  0.337  0.337  0.000
O  0.500  0.000  0.500
O  0.663  0.663  0.000

Computed properties:
Excess energy over the best structure of this formula in the dataset (eV per atom): 0.0268
ΔE_f (raw) (meV/atom): -1941
Space group: I4/mmm, No. 139

=====

Compound: Sr2RhO3
Source: Alexandria
Functional: PBE
Structure: optimized geometry

abc: 6.818 6.818 6.357
angles: 117.47 117.47 69.83
Positions (direct):
Sr  0.019  0.706  0.864
Sr  0.294  0.981  0.636
Sr  0.706  0.019  0.364
Sr  0.981  0.294  0.136
Rh  0.500  0.500  0.250
Rh  0.500  0.500  0.750
O  0.000  0.000  0.250
O  0.000  0.000  0.750
O  0.350  0.372  0.863
O  0.372  0.350  0.363
O  0.628  0.650  0.637
O  0.650  0.628  0.137

Computed properties:
ΔE_f (raw) (meV/atom): -1872
Space group: C2/c, No. 15

=====

Compound: Sr2RhO4
Source: Alexandria
Functional: PBE
Structure: optimized geometry

abc: 6.253 5.824 6.912
angles: 90.00 108.84 90.00
Positions (direct):
Sr  0.187  0.250  0.037
Sr  0.270  0.250  0.563
Sr  0.730  0.750  0.437
Sr  0.813  0.750  0.963
Rh  0.265  0.750  0.799
Rh  0.735  0.250  0.201
O  0.018  0.527  0.745
O  0.018  0.973  0.745
O  0.468  0.750  0.071
O  0.479  0.750  0.652
O  0.521  0.250  0.348
O  0.532  0.250  0.929
O  0.982  0.027  0.255
O  0.982  0.473  0.255

Computed properties:
Excess energy over the best structure of this formula in the dataset (eV per atom): 0.2481
ΔE_f (raw) (meV/atom): -1720
Space group: P2_1/m, No. 11

=====

Compound: Sr2RhO3
Source: Alexandria
Functional: PBE
Structure: optimized geometry

abc: 7.890 8.101 3.281
angles: 90.00 90.00 90.00
Positions (direct):
Sr  0.141  0.165  0.000
Sr  0.359  0.665  0.500
Sr  0.641  0.335  0.500
Sr  0.859  0.835  0.000
Rh  0.000  0.500  0.500
Rh  0.500  0.000  0.000
O  0.000  0.000  0.500
O  0.107  0.612  0.000
O  0.393  0.112  0.500
O  0.500  0.500  0.000
O  0.607  0.888  0.500
O  0.893  0.388  0.000

Computed properties:
ΔE_f (raw) (meV/atom): -1826
Space group: Pnnm, No. 58

=====

Compound: Sr4RhO6
Source: Alexandria
Functional: PBE
Structure: optimized geometry

abc: 6.935 6.935 6.935
angles: 90.23 90.23 90.23
Positions (direct):
Sr  0.118  0.750  0.382
Sr  0.250  0.250  0.250
Sr  0.250  0.618  0.882
Sr  0.382  0.118  0.750
Sr  0.618  0.882  0.250
Sr  0.750  0.382  0.118
Sr  0.750  0.750  0.750
Sr  0.882  0.250  0.618
Rh  0.000  0.000  0.000
Rh  0.500  0.500  0.500
O  0.058  0.927  0.715
O  0.073  0.285  0.942
O  0.215  0.427  0.558
O  0.285  0.942  0.073
O  0.427  0.558  0.215
O  0.442  0.785  0.573
O  0.558  0.215  0.427
O  0.573  0.442  0.785
O  0.715  0.058  0.927
O  0.785  0.573  0.442
O  0.927  0.715  0.058
O  0.942  0.073  0.285

Computed properties:
ΔE_f (raw) (meV/atom): -2264
Space group: R-3c, No. 167

=====

Compound: Sr2RhO
Source: Alexandria
Functional: PBE
Structure: optimized geometry

abc: 8.547 8.547 8.547
angles: 24.34 24.34 24.34
Positions (direct):
Sr  0.106  0.106  0.106
Sr  0.894  0.894  0.894
Rh  0.000  0.000  0.000
O  0.500  0.500  0.500

Computed properties:
ΔE_f (raw) (meV/atom): -853
Space group: R-3m, No. 166

=====

Compound: Sr2TcRhO
Source: Alexandria
Functional: PBE
Structure: optimized geometry

abc: 5.893 5.893 3.742
angles: 90.00 90.00 90.00
Positions (direct):
Sr  0.000  0.500  0.000
Sr  0.500  0.000  0.000
Tc  0.000  0.000  0.000
Rh  0.500  0.500  0.500
O  0.000  0.000  0.500

Computed properties:
ΔE_f (raw) (meV/atom): 41
Space group: P4/mmm, No. 123

=====

Compound: SrTeRh2O6
Source: Alexandria
Functional: PBE
Structure: optimized geometry

abc: 5.644 5.644 5.644
angles: 60.38 60.38 60.38
Positions (direct):
Sr  0.000  0.000  0.000
Te  0.473  0.473  0.473
Rh  0.258  0.258  0.258
Rh  0.767  0.767  0.767
O  0.077  0.591  0.435
O  0.123  0.524  0.903
O  0.435  0.077  0.591
O  0.524  0.903  0.123
O  0.591  0.435  0.077
O  0.903  0.123  0.524

Computed properties:
ΔE_f (raw) (meV/atom): -1228
Space group: R3, No. 146

=====

Compound: Sr2TeRhO6
Source: Alexandria
Functional: PBE
Structure: optimized geometry

abc: 6.150 6.150 5.041
angles: 107.08 107.08 52.81
Positions (direct):
Sr  0.230  0.230  0.217
Sr  0.770  0.770  0.783
Te  0.500  0.500  0.000
Rh  0.000  0.000  0.500
O  0.176  0.678  0.197
O  0.322  0.824  0.803
O  0.327  0.327  0.733
O  0.673  0.673  0.267
O  0.678  0.176  0.197
O  0.824  0.322  0.803

Computed properties:
ΔE_f (raw) (meV/atom): -1740
Space group: C2/m, No. 12

=====

Compound: SrTeRhO6
Source: Alexandria
Functional: PBE
Structure: optimized geometry

abc: 5.281 5.281 10.891
angles: 90.00 90.00 120.00
Positions (direct):
Sr  0.000  0.000  0.000
Sr  0.000  0.000  0.500
Te  0.333  0.667  0.250
Te  0.667  0.333  0.750
Rh  0.333  0.667  0.750
Rh  0.667  0.333  0.250
O  0.007  0.376  0.149
O  0.007  0.630  0.351
O  0.370  0.376  0.351
O  0.370  0.993  0.149
O  0.376  0.007  0.649
O  0.376  0.370  0.851
O  0.624  0.630  0.149
O  0.624  0.993  0.351
O  0.630  0.007  0.851
O  0.630  0.624  0.649
O  0.993  0.370  0.649
O  0.993  0.624  0.851

Computed properties:
ΔE_f (raw) (meV/atom): -1457
Space group: P-31c, No. 163

=====

Compound: SrTi2RhO
Source: Alexandria
Functional: PBE
Structure: optimized geometry

abc: 5.018 5.018 4.675
angles: 90.00 90.00 90.00
Positions (direct):
Sr  0.000  0.000  0.000
Ti  0.000  0.500  0.000
Ti  0.500  0.000  0.000
Rh  0.000  0.000  0.500
O  0.500  0.500  0.500

Computed properties:
ΔE_f (raw) (meV/atom): 2284
Space group: P4/mmm, No. 123

=====

Compound: SrTi2RhO8
Source: Alexandria
Functional: PBE
Structure: optimized geometry

abc: 4.952 4.955 6.912
angles: 82.02 81.94 79.02
Positions (direct):
Sr  0.000  0.000  0.000
Ti  0.457  0.458  0.217
Ti  0.543  0.542  0.783
Rh  0.000  0.000  0.500
O  0.225  0.773  0.295
O  0.234  0.783  0.703
O  0.240  0.250  0.438
O  0.332  0.339  0.009
O  0.668  0.661  0.991
O  0.760  0.750  0.562
O  0.766  0.217  0.297
O  0.775  0.227  0.705

Computed properties:
ΔE_f (raw) (meV/atom): -2058
Space group: P-1, No. 2

=====

Compound: Sr2TlRhO5
Source: Alexandria
Functional: PBE
Structure: optimized geometry

abc: 7.271 7.271 11.262
angles: 90.00 90.00 152.83
Positions (direct):
Sr  0.089  0.911  0.500
Sr  0.144  0.856  0.148
Sr  0.856  0.144  0.648
Sr  0.911  0.089  0.000
Tl  0.450  0.550  0.295
Tl  0.550  0.450  0.795
Rh  0.232  0.768  0.890
Rh  0.768  0.232  0.390
O  0.089  0.911  0.917
O  0.260  0.740  0.509
O  0.286  0.714  0.282
O  0.380  0.620  0.841
O  0.497  0.503  0.618
O  0.503  0.497  0.118
O  0.620  0.380  0.341
O  0.714  0.286  0.782
O  0.740  0.260  0.009
O  0.911  0.089  0.417

Computed properties:
ΔE_f (raw) (meV/atom): -1607
Space group: Cmc2_1, No. 36

=====

Compound: SrTlRhO6
Source: Alexandria
Functional: PBE
Structure: optimized geometry

abc: 5.612 5.612 5.232
angles: 90.00 90.00 120.00
Positions (direct):
Sr  0.000  0.000  0.000
Tl  0.333  0.667  0.500
Rh  0.667  0.333  0.500
O  0.391  0.042  0.715
O  0.391  0.349  0.285
O  0.651  0.042  0.285
O  0.651  0.609  0.715
O  0.958  0.349  0.715
O  0.958  0.609  0.285

Computed properties:
ΔE_f (raw) (meV/atom): -896
Space group: P312, No. 149

=====

Compound: Sr2TlRh3O8
Source: Alexandria
Functional: PBE
Structure: optimized geometry

abc: 6.850 6.850 6.850
angles: 56.50 56.50 56.50
Positions (direct):
Sr  0.000  0.000  0.000
Sr  0.377  0.377  0.377
Tl  0.758  0.758  0.758
Rh  0.378  0.378  0.879
Rh  0.378  0.879  0.378
Rh  0.879  0.378  0.378
O  0.124  0.124  0.566
O  0.124  0.566  0.124
O  0.150  0.150  0.150
O  0.195  0.630  0.630
O  0.566  0.124  0.124
O  0.601  0.601  0.601
O  0.630  0.195  0.630
O  0.630  0.630  0.195

Computed properties:
ΔE_f (raw) (meV/atom): -1310
Space group: R3m, No. 160

=====

Compound: Sr4TmRh3O12
Source: Alexandria
Functional: PBE
Structure: optimized geometry

abc: 7.040 7.040 7.040
angles: 109.47 109.47 109.47
Positions (direct):
Sr  0.000  0.000  0.500
Sr  0.000  0.500  0.000
Sr  0.500  0.000  0.000
Sr  0.500  0.500  0.500
Tm  0.000  0.000  0.000
Rh  0.000  0.500  0.500
Rh  0.500  0.000  0.500
Rh  0.500  0.500  0.000
O  0.000  0.261  0.261
O  0.000  0.739  0.739
O  0.250  0.500  0.750
O  0.250  0.750  0.500
O  0.261  0.000  0.261
O  0.261  0.261  0.000
O  0.500  0.250  0.750
O  0.500  0.750  0.250
O  0.739  0.000  0.739
O  0.739  0.739  0.000
O  0.750  0.250  0.500
O  0.750  0.500  0.250

Computed properties:
ΔE_f (raw) (meV/atom): -1894
Space group: Im-3m, No. 229

=====

| no. | M_tot (μB per atom) |
| --- | --- |
| 1 | 0.1624 |
| 2 | 0.1966 |
| 3 | 0.0000 |
| 4 | 0.2025 |
| 5 | 0.0000 |
| 6 | 0.1611 |
| 7 | 0.1714 |
| 8 | 0.1374 |
| 9 | 0.0806 |
| 10 | 0.0958 |
| 11 | 0.0000 |
| 12 | 0.1713 |
| 13 | 0.0000 |
| 14 | 0.1013 |
| 15 | 0.1174 |
| 16 | 0.0007 |
| 17 | 0.0927 |
| 18 | 0.0000 |
| 19 | 0.4102 |
| 20 | 0.0000 |
| 21 | 0.2632 |